# 1
# Tb2PmPr3Dy6

A geometry-optimized Tb2PmPr3Dy6 structure (GGA-PBE, Alexandria).

Cell: 6.241 6.241 11.865 Å, 95.01 95.01 119.98°
Fractional positions:
Tb1 0.167 0.833 0.000
Tb2 0.833 0.167 0.000
Pm1 0.500 0.500 0.000
Pr1 0.000 0.000 0.500
Pr2 0.333 0.667 0.500
Pr3 0.667 0.333 0.500
Dy1 0.084 0.418 0.753
Dy2 0.249 0.249 0.247
Dy3 0.418 0.084 0.753
Dy4 0.582 0.916 0.247
Dy5 0.751 0.751 0.753
Dy6 0.916 0.582 0.247

Values from the calculation:
ΔH_f (0 K), eV/atom: 0.02
Space-group type: C2/m, No. 12


# 2
# Pm2SiNi4As3

A geometry-optimized Pm2SiNi4As3 structure (GGA-PBE, Alexandria).

Cell: 4.109 4.109 9.651 Å, 90.00 90.00 90.00°
Fractional positions:
Pm1 0.000 0.500 0.250
Pm2 0.500 0.000 0.750
Si1 0.000 0.000 0.500
Ni1 0.000 0.000 0.000
Ni2 0.000 0.500 0.619
Ni3 0.500 0.000 0.381
Ni4 0.500 0.500 0.000
As1 0.000 0.500 0.867
As2 0.500 0.000 0.133
As3 0.500 0.500 0.500

Values from the calculation:
Space-group type: P-4m2, No. 115
Uncorrected formation energy, eV per formula unit: -8.37


# 3
# Ce2Cu3Ge4Au

A geometry-optimized Ce2Cu3Ge4Au structure (GGA-PBE, Alexandria).

Cell: 4.287 4.287 10.046 Å, 90.00 90.00 90.00°
Fractional positions:
Ce1 0.000 0.500 0.245
Ce2 0.500 0.000 0.755
Cu1 0.000 0.500 0.878
Cu2 0.500 0.000 0.122
Cu3 0.500 0.500 0.500
Ge1 0.000 0.000 0.000
Ge2 0.000 0.500 0.643
Ge3 0.500 0.000 0.357
Ge4 0.500 0.500 0.000
Au1 0.000 0.000 0.500

Values from the calculation:
ΔH_f (0 K), eV/atom: -0.49
Space-group type: P-4m2, No. 115